A plane-wave DFT calculation with PBE-GGA was carried out for a geometry-optimized Li2NdAg2Sn2 structure.

Unit cell a=4.6797 b=4.6797 c=24.1205 alpha=90.00 beta=90.00 gamma=120.00
Closest atoms and distances in Å follow each position.
Space group R-3m (No. 166, hexagonal axes)
Unique sites:
Li (0.0000, 0.0000, 0.1399) [6 per cell]  3 Ag 2.84, 4 Sn 2.86-3.12, 3 Li 2.99
Nd (0.0000, 0.0000, 0.0000) [3 per cell]  6 Sn 3.25, 2 Li 3.37
Ag (0.0000, 0.0000, 0.4374) [6 per cell]  3 Sn 2.79, 3 Li 2.84, 1 Ag 3.02
Sn (0.0000, 0.0000, 0.2583) [6 per cell]  3 Ag 2.79, 4 Li 2.86-3.12

ΔE_f, eV/atom: -0.422
Total moment, μB per formula unit: 0.00
Density of states at the Fermi level, states/eV/f.u.: 2.4


A plane-wave DFT calculation with PBE-GGA was carried out for a geometry-optimized RbH2Pb structure.

Unit cell a=4.8988 b=3.7745 c=4.9166 alpha=90.00 beta=91.99 gamma=90.00
Closest atoms and distances in Å follow each position.
Space group Pm (No. 6)
Unique sites:
Rb (0.0000, 0.0000, 0.0000) [1 per cell]  8 H 3.10-3.19
H (0.5030, 0.5000, 0.8857) [1 per cell]  1 Pb 1.95
H (0.8883, 0.5000, 0.5082) [1 per cell]  1 Pb 1.96
Pb (0.4888, 0.5000, 0.4881) [1 per cell]  2 H 1.95-1.96

Total moment, μB per formula unit: 0.00
Density of states at the Fermi level, states/eV/f.u.: 0.8
VASP energy, eV per atom: -2.85


A plane-wave DFT calculation with PBE-GGA was carried out for a geometry-optimized OsWCl2 structure.

Unit cell a=4.5147 b=4.5147 c=6.3751 alpha=90.00 beta=90.00 gamma=90.00
Closest atoms and distances in Å follow each position.
Space group I-4m2 (No. 119)
Unique sites:
Os (0.0000, 0.0000, 0.0000) [2 per cell]  4 Cl 2.76, 4 W 2.76
W (0.0000, 0.5000, 0.7500) [2 per cell]  4 Cl 2.76, 4 Os 2.76
Cl (0.0000, 0.0000, 0.5000) [2 per cell]  4 Cl 2.76, 4 W 2.76
Cl (0.0000, 0.5000, 0.2500) [2 per cell]  4 Os 2.76, 4 Cl 2.76

Total moment, μB per formula unit: 0.00
Density of states at the Fermi level, states/eV/f.u.: 2.0
VASP energy, eV per atom: -5.85